Here is a relaxed structure of Tb3NdY3Te8 from the Alexandria database. Energies are from PBE.

Its total DFT energy (no corrections) is -5.606 eV/atom. The value obtained for the density of states at the Fermi level is 20.409 states/eV/cell.

It has space group R-3m (No. 166, hexagonal axes), with a = 8.7178 Å, b = 8.7178 Å, c = 21.3485 Å, α = 90.00°, β = 90.00° and γ = 120.00°. The inequivalent atoms are Tb at (0.0000, 0.5000, 0.0000), Nd at (0.0000, 0.0000, 0.5000), Y at (0.0000, 0.5000, 0.5000), Te at (0.0000, 0.0000, 0.2498) and Te at (0.0148, 0.5074, 0.7465).

=====

Here is a relaxed structure of Li2MgSe2O6 from the Alexandria database. Energies are from PBE.

Its total DFT energy (no corrections) is -5.425 eV/atom. The value obtained for the density of states at the Fermi level is 0.000 states/eV/cell.

It has space group P-3 (No. 147), with a = 5.1840 Å, b = 5.1840 Å, c = 6.8175 Å, α = 90.00°, β = 90.00° and γ = 120.00°. The inequivalent atoms are Li at (0.3333, 0.6667, 0.1236), Mg at (0.0000, 0.0000, 0.0000), Se at (0.3333, 0.6667, 0.7089) and O at (0.0479, 0.6897, 0.8222).

=====

Here is a relaxed structure of NiSbOs2 from the Alexandria database. Energies are from PBE.

Its total DFT energy (no corrections) is -7.686 eV/atom. The value obtained for the density of states at the Fermi level is 6.210 states/eV/cell.

It has space group C2/m (No. 12), with a = 8.570 Å, b = 2.935 Å, c = 4.956 Å, α = 90.00°, β = 101.13° and γ = 90.00°. The inequivalent atoms are Ni at (0.000, 0.000, 0.000), Sb at (0.000, 0.500, 0.500) and Os at (0.244, 0.500, 0.217).